# TlHSe GGA-PBE optimized geometry
data_TlHSe
_chemical_formula_sum 'Tl1 H1 Se1'
_cell_length_a 5.134
_cell_length_b 5.134
_cell_length_c 5.134
_cell_angle_alpha 127.04
_cell_angle_beta 127.04
_cell_angle_gamma 78.19
_space_group_name_H-M_alt 'P 1'
_space_group_IT_number 1
_space_group_name_Hall 'P 1'
loop_
_atom_site_label
_atom_site_fract_x
_atom_site_fract_y
_atom_site_fract_z
_atom_site_occupancy
Tl1 0.000 0.000 0.000 1
H1 0.601 0.601 0.000 1
Se1 0.413 0.413 0.000 1
# - total energy (eV per atom) = -3.221